A plane-wave DFT calculation with PBE-GGA was carried out for an optimized crystal structure of Ag2SnI2.

a = 8.8379 Å, b = 8.8379 Å, c = 3.8497 Å
α = 90.00°, β = 90.00°, γ = 90.00°
With the nearest neighbours (Å) after each atom.
Space group P4/mbm (No. 127)
Symmetry-distinct sites (fractional):
Ag 0.1117 0.3883 0.0000 x4  1 Ag 2.79, 2 I 3.06
Sn 0.0000 0.0000 0.5000 x2  4 I 3.19
I 0.1979 0.6979 0.5000 x4  2 Ag 3.06, 2 Sn 3.19

Calculated values
Calculated volume = 300.7 Å³/cell
Spin magnetization = 0.000 μB per formula unit
Calculated total energy = -2.36 eV/atom
Formation energy from raw total energies = 0.200 eV/atom